1.
## Mn2Ru (PBE-GGA)

Data for a relaxed Mn2Ru crystal.

CIF file:
```
data_Mn2Ru
_chemical_formula_sum 'Mn16 Ru8'
_cell_length_a 4.6599
_cell_length_b 4.6599
_cell_length_c 15.2351
_cell_angle_alpha 90.00
_cell_angle_beta 90.00
_cell_angle_gamma 120.00
_symmetry_space_group_name_H-M 'P 63/m m c'
_symmetry_Int_Tables_number 194
_symmetry_space_group_name_Hall '-P 6c 2c'
loop_
_atom_site_label
_atom_site_fract_x
_atom_site_fract_y
_atom_site_fract_z
Mn1 0.0000 0.5000 0.0000
Mn2 0.1593 0.3186 0.2500
Mn3 0.3333 0.6667 0.1284
Ru1 0.0000 0.0000 0.0908
Ru2 0.3333 0.6667 0.6553
```

Summary:
Magnetic moment, μB per formula unit: 0.59
Crystal system: hexagonal
Formation energy from the elements, eV per formula unit: 0.10
Volume, Å³/cell: 286.5
Calculated total energy, hartree per atom: -0.3370

2.
## MnRu (PBE-GGA)

Data for a relaxed MnRu crystal.

CIF file:
```
data_MnRu
_chemical_formula_sum 'Mn2 Ru2'
_cell_length_a 2.894
_cell_length_b 2.894
_cell_length_c 5.991
_cell_angle_alpha 90.00
_cell_angle_beta 90.00
_cell_angle_gamma 90.00
_symmetry_space_group_name_H-M 'P 4/n m m'
_symmetry_Int_Tables_number 129
loop_
_symmetry_equiv_pos_as_xyz
'x,y,z'
'-x,-y,-z'
'-y+1/2,x,z'
'y+1/2,-x,-z'
'-x+1/2,-y+1/2,z'
'x+1/2,y+1/2,-z'
'y,-x+1/2,z'
'-y,x+1/2,-z'
'x+1/2,-y,-z'
'-x+1/2,y,z'
'-y,-x,-z'
'y,x,z'
'-x,y+1/2,-z'
'x,-y+1/2,z'
'y+1/2,x+1/2,-z'
'-y+1/2,-x+1/2,z'
loop_
_atom_site_label
_atom_site_fract_x
_atom_site_fract_y
_atom_site_fract_z
Mn1 0.250 0.250 0.080
Ru1 0.250 0.250 0.646
```

Summary:
Magnetic moment, μB per formula unit: 0.00
Crystal system: tetragonal
Formation energy from the elements, eV per formula unit: 0.40
Volume, Å³/cell: 50.2
Calculated total energy, hartree per atom: -0.3317

3.
## MnRu3 (PBE-GGA)

Data for a relaxed MnRu3 crystal.

CIF file:
```
data_MnRu3
_chemical_formula_sum 'Mn6 Ru18'
_cell_length_a 5.355
_cell_length_b 12.943
_cell_length_c 4.646
_cell_angle_alpha 90.00
_cell_angle_beta 90.00
_cell_angle_gamma 90.00
_symmetry_space_group_name_H-M 'P m m n'
_symmetry_Int_Tables_number 59
loop_
_symmetry_equiv_pos_as_xyz
'x,y,z'
'-x,-y,-z'
'-x+1/2,-y+1/2,z'
'x+1/2,y+1/2,-z'
'x+1/2,-y,-z'
'-x+1/2,y,z'
'-x,y+1/2,-z'
'x,-y+1/2,z'
loop_
_atom_site_label
_atom_site_fract_x
_atom_site_fract_y
_atom_site_fract_z
Mn1 0.250 0.087 0.163
Mn2 0.250 0.750 0.505
Ru1 0.001 0.750 0.997
Ru2 0.003 0.587 0.334
Ru3 0.250 0.250 0.495
Ru4 0.250 0.585 0.832
```

Summary:
Magnetic moment, μB per formula unit: 0.92
Crystal system: orthorhombic
Formation energy from the elements, eV per formula unit: 0.23
Volume, Å³/cell: 322.0
Calculated total energy, hartree per atom: -0.3378